# PBE Pr2Ho2CI3Br2, relaxed
data_Pr2Ho2CI3Br2
_chemical_formula_sum 'Pr4 Ho4 C2 I6 Br4'
_cell_length_a 18.434
_cell_length_b 3.966
_cell_length_c 8.603
_cell_angle_alpha 90.00
_cell_angle_beta 103.00
_cell_angle_gamma 90.00
_symmetry_space_group_name_H-M 'C 1 2/m 1'
_symmetry_Int_Tables_number 12
loop_
_symmetry_equiv_pos_as_xyz
'x,y,z'
'-x,-y,-z'
'-x,y,-z'
'x,-y,z'
'x+1/2,y+1/2,z'
'-x+1/2,-y+1/2,-z'
'-x+1/2,y+1/2,-z'
'x+1/2,-y+1/2,z'
loop_
_atom_site_label
_atom_site_type_symbol
_atom_site_fract_x
_atom_site_fract_y
_atom_site_fract_z
Pr1 Pr 0.141 0.000 0.067
Ho1 Ho 0.001 0.500 0.812
C1 C 0.000 0.000 0.000
I1 I 0.000 0.000 0.500
I2 I 0.165 0.500 0.357
Br1 Br 0.163 0.500 0.817
# Spin magnetization ... 0.10 μB/f.u.
# Total DFT energy (no corrections) ... -4.806 eV/atom
# ΔE to the lowest computed polymorph ... 17 meV per atom

---

# PBE Dy4ErLu2Ni2Te2, relaxed
data_Dy4ErLu2Ni2Te2
_chemical_formula_sum 'Dy8 Er2 Lu4 Ni4 Te4'
_cell_length_a 3.836
_cell_length_b 15.501
_cell_length_c 9.515
_cell_angle_alpha 90.00
_cell_angle_beta 90.00
_cell_angle_gamma 90.00
_symmetry_space_group_name_H-M 'I m m 2'
_symmetry_Int_Tables_number 44
loop_
_symmetry_equiv_pos_as_xyz
'x,y,z'
'-x,-y,z'
'-x,y,z'
'x,-y,z'
'x+1/2,y+1/2,z+1/2'
'-x+1/2,-y+1/2,z+1/2'
'-x+1/2,y+1/2,z+1/2'
'x+1/2,-y+1/2,z+1/2'
loop_
_atom_site_label
_atom_site_type_symbol
_atom_site_fract_x
_atom_site_fract_y
_atom_site_fract_z
Dy1 Dy 0.000 0.134 0.000
Dy2 Dy 0.000 0.353 0.147
Er1 Er 0.000 0.000 0.418
Lu1 Lu 0.000 0.315 0.796
Ni1 Ni 0.000 0.236 0.486
Te1 Te 0.000 0.000 0.755
Te2 Te 0.000 0.500 0.654
# Spin magnetization ... 0.02 μB/f.u.
# Total DFT energy (no corrections) ... -5.177 eV/atom
# ΔE to the lowest computed polymorph ... 0 meV per atom

---

# PBE PmBPO, relaxed
data_PmBPO
_chemical_formula_sum 'Pm2 B2 P2 O2'
_cell_length_a 3.884
_cell_length_b 5.410
_cell_length_c 5.969
_cell_angle_alpha 90.00
_cell_angle_beta 90.00
_cell_angle_gamma 90.00
_symmetry_space_group_name_H-M 'P m c 21'
_symmetry_Int_Tables_number 26
loop_
_symmetry_equiv_pos_as_xyz
'x,y,z'
'-x,-y,z+1/2'
'-x,y,z'
'x,-y,z+1/2'
loop_
_atom_site_label
_atom_site_type_symbol
_atom_site_fract_x
_atom_site_fract_y
_atom_site_fract_z
Pm1 Pm 0.000 0.221 0.000
B1 B 0.500 0.325 0.351
P1 P 0.500 0.376 0.671
O1 O 0.000 0.168 0.362
# Spin magnetization ... 0.00 μB/f.u.
# Total DFT energy (no corrections) ... -6.349 eV/atom
# ΔE to the lowest computed polymorph ... 513 meV per atom

---

Question: Which value of total DFT energy (no corrections) does entry 2 give?
Answer: -5.177 eV/atom

---

Question: ΔE to the lowest computed polymorph of number 3 (PmBPO)?
Answer: 513 meV per atom

---

Question: Which value of spin magnetization does entry 3 give?
Answer: 0.00 μB/f.u.